The following is a DFT calculation (PBE) of a relaxed structure of VFeNi2.

Cell lengths 4.3503, 4.1073, 4.1073 Å; angles 60.00, 90.00, 90.00 degrees
With the nearest neighbours (Å) after each atom.
Atoms (fractional coordinates):
Ni (0.5000, 0.0000, 0.0000)  2 V 2.18, 3 Fe 2.37, 3 Ni 2.37
Ni (0.5000, 0.3333, 0.3333)  3 Fe 2.37, 3 Ni 2.37
V (0.0000, 0.0000, 0.0000)  2 Ni 2.18
Fe (0.5000, 0.6667, 0.6667)  6 Ni 2.37

Results
Crystal system: hexagonal
Total energy: -6.438 eV per atom
Symmetry: P-6m2 (187)
Energy relative to the elements: 0.848 eV per atom
Calculated density: 5.9 g/cm³

The following is a DFT calculation (PBE) of a relaxed structure of VFe2Ni6.

Cell lengths 2.4555, 6.8122, 7.1513 Å; angles 118.44, 99.89, 90.00 degrees
With the nearest neighbours (Å) after each atom.
Atoms (fractional coordinates):
Ni (0.3266, 0.1507, 0.6533)  6 Ni 2.37-2.47, 3 Fe 2.47-2.54
Fe (0.8487, 0.8487, 0.6975)  2 Fe 2.46, 10 Ni 2.47-2.54
Ni (0.5000, 0.8252, 0.0000)  5 Ni 2.37-2.46, 4 Fe 2.53, 2 V 2.53
V (0.0000, 0.5000, 0.0000)  2 V 2.46, 12 Ni 2.53-2.74
Ni (0.6734, 0.8493, 0.3467)  6 Ni 2.37-2.47, 3 Fe 2.47-2.54
Ni (0.6734, 0.4974, 0.3467)  6 Ni 2.37-2.47, 3 Fe 2.47-2.54
Ni (0.3266, 0.5026, 0.6533)  6 Ni 2.37-2.47, 3 Fe 2.47-2.54
Fe (0.1513, 0.1513, 0.3025)  2 Fe 2.46, 10 Ni 2.47-2.54
Ni (0.5000, 0.1748, 0.0000)  5 Ni 2.37-2.46, 4 Fe 2.53, 2 V 2.53

Results
Crystal system: orthorhombic
Total energy: -6.728 eV per atom
Symmetry: Immm (71)
Energy relative to the elements: 0.020 eV per atom
Calculated density: 8.3 g/cm³
Polymorph energy (0 for the lowest one): 114 meV per atom

The following is a DFT calculation (PBE) of a relaxed structure of VFe3Ni6.

Cell lengths 4.4645, 8.2177, 8.2177 Å; angles 129.67, 90.00, 90.00 degrees
With the nearest neighbours (Å) after each atom.
Atoms (fractional coordinates):
Ni (0.0437, 0.7534, 0.6378)  3 Fe 2.40-2.47, 3 Ni 2.54-2.64, 1 V 2.57
V (0.5265, 0.8457, 0.1543)  9 Ni 2.38-2.65, 4 Fe 2.55-2.64
Ni (0.0437, 0.3622, 0.2466)  3 Fe 2.40-2.47, 3 Ni 2.54-2.64, 1 V 2.57
Ni (0.2801, 0.9965, 0.0035)  2 Ni 2.23, 4 Fe 2.43-2.44, 1 V 2.50
Ni (0.7989, 0.2991, 0.7009)  1 Fe 2.29, 1 V 2.38, 4 Ni 2.42-2.55
Fe (0.0923, 0.4257, 0.5743)  5 Ni 2.29-2.45, 2 Fe 2.40
Fe (0.0150, 0.7057, 0.9460)  5 Ni 2.35-2.47, 2 Fe 2.40-2.43, 1 V 2.55
V (0.0265, 0.1543, 0.8457)  9 Ni 2.38-2.65, 4 Fe 2.55-2.64
Ni (0.8351, 0.8965, 0.4497)  2 Fe 2.35-2.46, 5 Ni 2.42-2.60, 1 V 2.58
Fe (0.0150, 0.0540, 0.2943)  5 Ni 2.35-2.47, 2 Fe 2.40-2.43, 1 V 2.55
Ni (0.3351, 0.4497, 0.8965)  2 Fe 2.35-2.46, 5 Ni 2.42-2.60, 1 V 2.58
Ni (0.3351, 0.1035, 0.5503)  2 Fe 2.35-2.46, 5 Ni 2.42-2.60, 1 V 2.58
Ni (0.2989, 0.7009, 0.2991)  1 Fe 2.29, 1 V 2.38, 4 Ni 2.42-2.55
Fe (0.5923, 0.5743, 0.4257)  5 Ni 2.29-2.45, 2 Fe 2.40
Fe (0.5150, 0.2943, 0.0540)  5 Ni 2.35-2.47, 2 Fe 2.40-2.43, 1 V 2.55
Ni (0.7801, 0.0035, 0.9965)  2 Ni 2.23, 4 Fe 2.43-2.44, 1 V 2.50
Ni (0.8351, 0.5503, 0.1035)  2 Fe 2.35-2.46, 5 Ni 2.42-2.60, 1 V 2.58
Fe (0.5150, 0.9460, 0.7057)  5 Ni 2.35-2.47, 2 Fe 2.40-2.43, 1 V 2.55
Ni (0.5437, 0.2466, 0.3622)  3 Fe 2.40-2.47, 3 Ni 2.54-2.64, 1 V 2.57
Ni (0.5437, 0.6378, 0.7534)  3 Fe 2.40-2.47, 3 Ni 2.54-2.64, 1 V 2.57

Results
Crystal system: orthorhombic
Total energy: -6.885 eV per atom
Symmetry: Cmc2_1 (36)
Energy relative to the elements: 0.034 eV per atom
Calculated density: 8.2 g/cm³
Polymorph energy (0 for the lowest one): 117 meV per atom

The following is a DFT calculation (PBE) of a relaxed structure of VFe3Ni6.

Cell lengths 3.5324, 8.0241, 8.0077 Å; angles 89.85, 90.00, 90.00 degrees
With the nearest neighbours (Å) after each atom.
Atoms (fractional coordinates):
Ni (0.7500, 0.7527, 0.5001)  3 V 2.51-2.59, 5 Ni 2.51-2.53, 4 Fe 2.53-2.56
Fe (0.2500, 0.5502, 0.3988)  4 Fe 2.50-2.53, 8 Ni 2.50-2.56
Ni (0.2500, 0.6471, 0.7003)  1 V 2.48, 5 Fe 2.50-2.54, 6 Ni 2.51-2.53
V (0.2500, 0.9440, 0.6119)  10 Ni 2.45-2.60, 2 V 2.67
Fe (0.7500, 0.4498, 0.6012)  4 Fe 2.50-2.53, 8 Ni 2.50-2.56
Ni (0.2500, 0.1523, 0.1997)  2 V 2.45, 2 Fe 2.51, 8 Ni 2.52-2.54
Fe (0.7500, 0.6505, 0.2017)  4 Fe 2.50-2.52, 8 Ni 2.51-2.55
Ni (0.2500, 0.2473, 0.4999)  3 V 2.51-2.59, 5 Ni 2.51-2.53, 4 Fe 2.53-2.56
Ni (0.7500, 0.1470, 0.6992)  3 V 2.50-2.60, 5 Ni 2.51-2.53, 4 Fe 2.53-2.55
Fe (0.7500, 0.2509, 0.0003)  10 Ni 2.51-2.55, 2 Fe 2.52
Fe (0.2500, 0.3495, 0.7983)  4 Fe 2.50-2.52, 8 Ni 2.51-2.55
Ni (0.2500, 0.8530, 0.3008)  3 V 2.50-2.60, 5 Ni 2.51-2.53, 4 Fe 2.53-2.55
Fe (0.2500, 0.7491, 0.9997)  10 Ni 2.51-2.55, 2 Fe 2.52
Ni (0.2500, 0.4503, 0.0995)  5 Ni 2.51-2.52, 7 Fe 2.51-2.55
Ni (0.7500, 0.8477, 0.8003)  2 V 2.45, 2 Fe 2.51, 8 Ni 2.52-2.54
Ni (0.2500, 0.0513, 0.9011)  1 V 2.47, 7 Ni 2.51-2.54, 4 Fe 2.51-2.55
Ni (0.7500, 0.9487, 0.0989)  1 V 2.47, 7 Ni 2.51-2.54, 4 Fe 2.51-2.55
Ni (0.7500, 0.3529, 0.2997)  1 V 2.48, 5 Fe 2.50-2.54, 6 Ni 2.51-2.53
Ni (0.7500, 0.5497, 0.9005)  5 Ni 2.51-2.52, 7 Fe 2.51-2.55
V (0.7500, 0.0560, 0.3881)  10 Ni 2.45-2.60, 2 V 2.67

Results
Crystal system: monoclinic
Total energy: -7.002 eV per atom
Symmetry: P2_1/m (11)
Energy relative to the elements: -0.082 eV per atom
Calculated density: 8.3 g/cm³
Polymorph energy (0 for the lowest one): 0 meV per atom

The following is a DFT calculation (PBE) of a relaxed structure of VFe3Ni.

Cell lengths 4.2956, 4.2956, 4.2956 Å; angles 90.00, 90.00, 90.00 degrees
With the nearest neighbours (Å) after each atom.
Atoms (fractional coordinates):
Fe (0.0000, 0.5000, 0.0000)  2 Ni 2.15
V (0.5000, 0.5000, 0.5000)  12 Fe 3.04
Ni (0.0000, 0.0000, 0.0000)  6 Fe 2.15
Fe (0.5000, 0.0000, 0.0000)  2 Ni 2.15
Fe (0.0000, 0.0000, 0.5000)  2 Ni 2.15

Results
Crystal system: cubic
Total energy: -7.077 eV per atom
Symmetry: Pm-3m (221)
Energy relative to the elements: 0.981 eV per atom
Calculated density: 5.8 g/cm³
Polymorph energy (0 for the lowest one): 1036 meV per atom

The following is a DFT calculation (PBE) of a relaxed structure of VFe2Ni8.

Cell lengths 4.3340, 6.5280, 6.9406 Å; angles 61.95, 71.84, 48.50 degrees
With the nearest neighbours (Å) after each atom.
Atoms (fractional coordinates):
Ni (0.7630, 0.1019, 0.2714)  7 Ni 2.32-2.57, 3 Fe 2.51-2.59
Ni (0.2370, 0.6267, 0.2714)  7 Ni 2.32-2.57, 3 Fe 2.51-2.59
Ni (0.7630, 0.3733, 0.7286)  7 Ni 2.32-2.57, 3 Fe 2.51-2.59
Ni (0.5000, 0.8064, 0.3873)  1 V 2.37, 4 Fe 2.45-2.64, 6 Ni 2.45-2.56
V (0.5000, 0.0000, 0.0000)  2 Ni 2.37
Ni (0.2370, 0.8981, 0.7286)  7 Ni 2.32-2.57, 3 Fe 2.51-2.59
Fe (0.0000, 0.3174, 0.3652)  12 Ni 2.45-2.64
Fe (0.0000, 0.6826, 0.6348)  12 Ni 2.45-2.64
Ni (0.2485, 0.4987, 0.0000)  6 Ni 2.14-2.37
Ni (0.7515, 0.5013, 0.0000)  6 Ni 2.14-2.37
Ni (0.5000, 0.1936, 0.6127)  1 V 2.37, 4 Fe 2.45-2.64, 6 Ni 2.45-2.56

Results
Crystal system: monoclinic
Total energy: -6.459 eV per atom
Symmetry: C2/m (12)
Energy relative to the elements: 0.113 eV per atom
Calculated density: 8.1 g/cm³
Polymorph energy (0 for the lowest one): 30 meV per atom

The following is a DFT calculation (PBE) of a relaxed structure of V4FeNi5.

Cell lengths 2.5258, 2.5258, 18.4683 Å; angles 90.00, 90.00, 90.00 degrees
With the nearest neighbours (Å) after each atom.
Atoms (fractional coordinates):
V (0.0000, 0.0000, 0.1971)  4 V 2.53, 8 Ni 2.57-2.58
V (0.0000, 0.0000, 0.3992)  4 V 2.53, 8 Ni 2.58-2.59
V (0.0000, 0.0000, 0.8029)  4 V 2.53, 8 Ni 2.57-2.58
Ni (0.5000, 0.5000, 0.0968)  4 Ni 2.53, 4 Fe 2.53, 4 V 2.57
Ni (0.5000, 0.5000, 0.5000)  4 Ni 2.53, 8 V 2.58
Fe (0.0000, 0.0000, 0.0000)  4 Fe 2.53, 8 Ni 2.53
V (0.0000, 0.0000, 0.6008)  4 V 2.53, 8 Ni 2.58-2.59
Ni (0.5000, 0.5000, 0.7020)  4 Ni 2.53, 8 V 2.58-2.59
Ni (0.5000, 0.5000, 0.2980)  4 Ni 2.53, 8 V 2.58-2.59
Ni (0.5000, 0.5000, 0.9032)  4 Ni 2.53, 4 Fe 2.53, 4 V 2.57

Results
Crystal system: tetragonal
Total energy: -7.548 eV per atom
Symmetry: P4/mmm (123)
Energy relative to the elements: -0.164 eV per atom
Calculated density: 7.8 g/cm³

The following is a DFT calculation (PBE) of a relaxed structure of VFeNi2.

Cell lengths 2.5448, 2.5448, 8.4629 Å; angles 81.35, 81.35, 60.00 degrees
With the nearest neighbours (Å) after each atom.
Atoms (fractional coordinates):
Ni (0.2490, 0.2490, 0.2529)  3 Fe 2.53, 6 Ni 2.54, 3 V 2.57
V (0.6665, 0.6665, 0.0004)  6 V 2.54, 6 Ni 2.57
Fe (0.5001, 0.5001, 0.4996)  6 Ni 2.53, 6 Fe 2.54
Ni (0.0843, 0.0843, 0.7470)  3 Fe 2.53, 6 Ni 2.54, 3 V 2.57

Results
Crystal system: trigonal
Total energy: -7.288 eV per atom
Symmetry: R3m (160)
Energy relative to the elements: -0.002 eV per atom
Calculated density: 8.0 g/cm³

The following is a DFT calculation (PBE) of a relaxed structure of VFeNi4.

Cell lengths 4.0080, 4.0080, 4.8703 Å; angles 90.03, 90.03, 120.01 degrees
With the nearest neighbours (Å) after each atom.
Atoms (fractional coordinates):
Ni (0.3331, 0.1664, 0.7538)  5 Ni 2.31-2.47
Ni (0.6669, 0.8336, 0.2462)  5 Ni 2.31-2.47
Ni (0.3336, 0.1669, 0.2462)  5 Ni 2.31-2.47
Ni (0.6664, 0.8331, 0.7538)  5 Ni 2.31-2.47
V (0.0000, 0.5000, 0.5000)  2 Fe 2.44, 12 Ni 2.62
Fe (0.0000, 0.5000, 0.0000)  2 V 2.44, 12 Ni 2.61

Results
Crystal system: hexagonal
Total energy: -6.836 eV per atom
Symmetry: P6/mmm (191)
Energy relative to the elements: -0.052 eV per atom
Calculated density: 8.4 g/cm³
Polymorph energy (0 for the lowest one): 0 meV per atom

The following is a DFT calculation (PBE) of a relaxed structure of VFe2Ni4.

Cell lengths 3.3099, 5.0963, 5.0963 Å; angles 88.33, 90.00, 90.00 degrees
With the nearest neighbours (Å) after each atom.
Atoms (fractional coordinates):
Ni (0.0000, 0.2511, 0.2511)  4 Fe 2.42-2.69, 4 Ni 2.43, 2 V 2.46
Ni (0.5000, 0.0000, 0.5000)  4 Ni 2.43, 4 Fe 2.47, 2 V 2.55
V (0.5000, 0.5000, 0.5000)  8 Ni 2.46-2.55, 4 Fe 2.58
Ni (0.0000, 0.7489, 0.7489)  4 Fe 2.42-2.69, 4 Ni 2.43, 2 V 2.46
Fe (0.0000, 0.7790, 0.2210)  8 Ni 2.42-2.69, 2 V 2.58
Ni (0.5000, 0.5000, 0.0000)  4 Ni 2.43, 4 Fe 2.47, 2 V 2.55
Fe (0.0000, 0.2210, 0.7790)  8 Ni 2.42-2.69, 2 V 2.58

Results
Crystal system: orthorhombic
Total energy: -6.949 eV per atom
Symmetry: Cmmm (65)
Energy relative to the elements: 0.075 eV per atom
Calculated density: 7.7 g/cm³
Polymorph energy (0 for the lowest one): 18 meV per atom